No. 1
Entry from Alexandria: crystalline KAlZn2 at its relaxed geometry (PBE-GGA).

Properties
* symmetry: No. 123
* calculated formation energy: 1.50 eV/f.u.

a = 4.9998 Å, b = 4.9998 Å, c = 3.7639 Å
α = 90.00°, β = 90.00°, γ = 90.00°
Fractional positions:
1 K 0.0000 0.0000 0.0000
2 Al 0.5000 0.5000 0.0000
3 Zn 0.0000 0.5000 0.5000
4 Zn 0.5000 0.0000 0.5000

***

No. 2
Entry from Alexandria: crystalline SbPd3Pb at its relaxed geometry (PBE-GGA).

Properties
* symmetry: No. 26
* raw formation energy: -0.270 eV per atom

a = 4.5837 Å, b = 8.1717 Å, c = 5.6122 Å
α = 90.00°, β = 90.00°, γ = 90.00°
Fractional positions:
1 Sb 0.0000 0.1198 0.0000
2 Sb 0.0000 0.8802 0.5000
3 Pd 0.0000 0.2068 0.5386
4 Pd 0.0000 0.4413 0.1139
5 Pd 0.0000 0.5587 0.6139
6 Pd 0.0000 0.7932 0.0386
7 Pd 0.5000 0.2719 0.8852
8 Pd 0.5000 0.7281 0.3852
9 Pb 0.5000 0.3667 0.3954
10 Pb 0.5000 0.6333 0.8954

***

No. 3
Entry from Alexandria: crystalline Th3Cd2Hg4 at its relaxed geometry (PBE-GGA).

Properties
* symmetry: No. 15
* calculated formation energy: -0.89 eV/f.u.

a = 8.9809 Å, b = 8.9809 Å, c = 6.3985 Å
α = 95.88°, β = 95.88°, γ = 70.86°
Fractional positions:
1 Th 0.0326 0.9674 0.7500
2 Th 0.2960 0.4849 0.5681
3 Th 0.4849 0.2960 0.0681
4 Th 0.5151 0.7040 0.9319
5 Th 0.7040 0.5151 0.4319
6 Th 0.9674 0.0326 0.2500
7 Cd 0.0937 0.3681 0.1545
8 Cd 0.3681 0.0937 0.6545
9 Cd 0.6319 0.9063 0.3455
10 Cd 0.9063 0.6319 0.8455
11 Hg 0.0425 0.3028 0.6158
12 Hg 0.2063 0.6493 0.0490
13 Hg 0.3028 0.0425 0.1158
14 Hg 0.3507 0.7937 0.4510
15 Hg 0.6493 0.2063 0.5490
16 Hg 0.6972 0.9575 0.8842
17 Hg 0.7937 0.3507 0.9510
18 Hg 0.9575 0.6972 0.3842

***

No. 4
Entry from Alexandria: crystalline HfGaFe at its relaxed geometry (PBE-GGA).

Properties
* symmetry: No. 160
* calculated formation energy: -0.02 eV/f.u.

a = 3.1389 Å, b = 3.1389 Å, c = 17.7090 Å
α = 90.00°, β = 90.00°, γ = 120.00°
Fractional positions:
1 Hf 0.0000 0.0000 0.0000
2 Hf 0.3333 0.6667 0.6667
3 Hf 0.6667 0.3333 0.3333
4 Ga 0.0000 0.0000 0.7971
5 Ga 0.3333 0.6667 0.4638
6 Ga 0.6667 0.3333 0.1305
7 Fe 0.0000 0.0000 0.2305
8 Fe 0.3333 0.6667 0.8971
9 Fe 0.6667 0.3333 0.5638

***

No. 5
Entry from Alexandria: crystalline Mg2MoIr at its relaxed geometry (PBE-GGA).

Properties
* symmetry: No. 10
* calculated formation energy: 0.28 eV/f.u.

a = 2.8203 Å, b = 4.5080 Å, c = 5.2306 Å
α = 90.00°, β = 102.11°, γ = 90.00°
Fractional positions:
1 Mg 0.2138 0.0000 0.2573
2 Mg 0.7862 0.0000 0.7427
3 Mo 0.5000 0.5000 0.0000
4 Ir 0.0000 0.5000 0.5000